{"formula": "Li4Tl3F8", "functional": "PBE", "state": "optimized geometry", "dos_at_fermi_per_ev_fu": 3.2, "m_tot_mub_per_cell": 0.0, "raw_formation_energy_kj_per_mol_fu": -3154, "cell": [[-5.755, -3.251, -0.719], [4.474, -1.950, 4.946], [0.062, 6.313, 2.902]], "species": ["Li", "Li", "Li", "Li", "Tl", "Tl", "Tl", "F", "F", "F", "F", "F", "F", "F", "F"], "frac_coords": [[0.500, 0.000, 0.000], [0.000, 0.500, 0.000], [0.000, 0.000, 0.000], [0.000, 0.000, 0.500], [0.500, 0.500, 0.000], [0.500, 0.000, 0.500], [0.500, 0.500, 0.500], [0.426, 0.179, 0.179], [0.000, 0.768, 0.232], [0.970, 0.207, 0.207], [0.500, 0.783, 0.217], [0.500, 0.217, 0.783], [0.030, 0.793, 0.793], [0.000, 0.232, 0.768], [0.574, 0.821, 0.821]]}